1.
Density functional theory data (PBE-GGA) for CuPb2I2 after structural relaxation.

Values from the calculation:
* space group: P4/mbm, No. 127
* raw total energy: -2.91 eV/atom
* formation energy (no corrections): 0.085 eV per formula unit
* total magnetization: 0.000 μB per atom

a b c (Å): 7.759 7.759 5.532
angles (deg): 90.00 90.00 90.00
Fractional coordinates of all 10 atoms:
I: 0.825 0.325 0.500
Cu: 0.000 0.000 0.000
I: 0.675 0.825 0.500
Pb: 0.685 0.185 0.000
Pb: 0.315 0.815 0.000
Pb: 0.185 0.315 0.000
Pb: 0.815 0.685 0.000
Cu: 0.500 0.500 0.000
I: 0.175 0.675 0.500
I: 0.325 0.175 0.500

---

2.
Density functional theory data (PBE-GGA) for CuPbI3 after structural relaxation.

Values from the calculation:
* space group: Pm-3m, No. 221
* excess energy over the best structure of this formula in the dataset: 3.48 eV/f.u.
* raw total energy: -2.21 eV/atom
* formation energy (no corrections): 1.393 eV per formula unit
* total magnetization: 0.000 μB per atom

a b c (Å): 6.175 6.175 6.175
angles (deg): 90.00 90.00 90.00
Fractional coordinates of all 5 atoms:
Cu: 0.500 0.500 0.500
I: 0.500 0.000 0.000
I: 0.000 0.500 0.000
I: 0.000 0.000 0.500
Pb: 0.000 0.000 0.000

---

3.
Density functional theory data (PBE-GGA) for Cu2PbI4 after structural relaxation.

Values from the calculation:
* space group: P-42m, No. 111
* raw total energy: -2.87 eV/atom
* formation energy (no corrections): -1.997 eV per formula unit
* total magnetization: 0.000 μB per atom

a b c (Å): 6.255 6.255 7.010
angles (deg): 90.00 90.00 90.00
Fractional coordinates of all 7 atoms:
I: 0.732 0.268 0.707
Pb: 0.000 0.000 0.000
Cu: 0.500 0.000 0.500
I: 0.732 0.732 0.293
Cu: 0.000 0.500 0.500
I: 0.268 0.732 0.707
I: 0.268 0.268 0.293

---

4.
Density functional theory data (PBE-GGA) for Cu2Pb4I after structural relaxation.

Values from the calculation:
* space group: I4/mmm, No. 139
* raw total energy: -2.92 eV/atom
* formation energy (no corrections): 4.158 eV per formula unit
* total magnetization: 0.000 μB per atom

a b c (Å): 5.948 5.948 8.360
angles (deg): 69.16 69.16 90.00
Fractional coordinates of all 7 atoms:
Pb: 0.500 0.000 0.000
Cu: 0.580 0.580 0.841
Cu: 0.420 0.420 0.159
I: 0.000 0.000 0.000
Pb: 0.756 0.756 0.487
Pb: 0.000 0.500 0.000
Pb: 0.244 0.244 0.513

---

5.
Density functional theory data (PBE-GGA) for CuPbI3 after structural relaxation.

Values from the calculation:
* space group: Ama2, No. 40
* excess energy over the best structure of this formula in the dataset: 0.00 eV/f.u.
* raw total energy: -2.91 eV/atom
* formation energy (no corrections): -2.084 eV per formula unit
* total magnetization: 0.000 μB per atom

a b c (Å): 4.490 7.274 13.330
angles (deg): 105.83 90.00 90.00
Fractional coordinates of all 10 atoms:
I: 0.750 0.891 0.792
Cu: 0.750 0.518 0.768
I: 0.250 0.439 0.853
I: 0.250 0.727 0.430
I: 0.750 0.297 0.570
I: 0.750 0.587 0.147
I: 0.250 0.099 0.208
Cu: 0.250 0.751 0.232
Pb: 0.250 0.060 0.671
Pb: 0.750 0.389 0.329

---

6.
Density functional theory data (PBE-GGA) for RbCu4Pb3I12 after structural relaxation.

Values from the calculation:
* space group: R32, No. 155
* raw total energy: -2.80 eV/atom
* formation energy (no corrections): -8.853 eV per formula unit
* total magnetization: 0.045 μB per atom

a b c (Å): 10.217 10.217 10.217
angles (deg): 105.00 105.00 105.00
Each line ends with the local moment (μB).
Fractional coordinates of all 20 atoms:
I: 0.500 0.094 0.906  0.04
Pb: 0.554 0.446 0.000  0.01
I: 0.356 0.986 0.223  0.02
Cu: 0.500 0.500 0.500  0.06
I: 0.777 0.014 0.644  0.02
Pb: 0.446 0.000 0.554  0.01
Cu: 0.935 0.065 0.500  0.12
I: 0.644 0.777 0.014  0.02
I: 0.345 0.655 0.500  0.01
I: 0.014 0.644 0.777  0.02
Rb: 0.000 0.000 0.000  0.00
I: 0.500 0.345 0.655  0.01
Pb: 0.000 0.554 0.446  0.01
I: 0.094 0.906 0.500  0.04
Cu: 0.065 0.500 0.935  0.12
I: 0.986 0.223 0.356  0.02
I: 0.906 0.500 0.094  0.04
I: 0.223 0.356 0.986  0.02
Cu: 0.500 0.935 0.065  0.12
I: 0.655 0.500 0.345  0.01

---

7.
Density functional theory data (PBE-GGA) for Rb2Cu2PbI6 after structural relaxation.

Values from the calculation:
* space group: C2/m, No. 12
* raw total energy: -2.84 eV/atom
* formation energy (no corrections): -8.111 eV per formula unit
* total magnetization: 0.000 μB per atom

a b c (Å): 8.506 8.283 9.261
angles (deg): 114.03 90.00 120.89
Fractional coordinates of all 11 atoms:
Pb: 0.500 0.000 0.500
Cu: 0.044 0.088 0.256
I: 0.686 0.883 0.196
Rb: 0.285 0.571 0.802
Rb: 0.715 0.429 0.198
I: 0.246 0.493 0.381
I: 0.803 0.117 0.804
Cu: 0.956 0.912 0.744
I: 0.197 0.883 0.196
I: 0.314 0.117 0.804
I: 0.754 0.507 0.619

---

8.
Density functional theory data (PBE-GGA) for RbCuPbI4 after structural relaxation.

Values from the calculation:
* space group: P2_1/m, No. 11
* raw total energy: -2.86 eV/atom
* formation energy (no corrections): -5.022 eV per formula unit
* total magnetization: 0.000 μB per atom

a b c (Å): 7.321 8.266 10.050
angles (deg): 90.00 109.79 90.00
Fractional coordinates of all 14 atoms:
I: 0.588 0.250 0.849
Pb: 0.781 0.750 0.448
Rb: 0.244 0.250 0.056
Cu: 0.196 0.750 0.318
I: 0.022 0.508 0.723
I: 0.445 0.750 0.579
I: 0.022 0.992 0.723
I: 0.978 0.492 0.277
I: 0.978 0.008 0.277
Rb: 0.756 0.750 0.944
I: 0.412 0.750 0.151
Cu: 0.804 0.250 0.682
I: 0.555 0.250 0.421
Pb: 0.219 0.250 0.552

---

9.
Density functional theory data (PBE-GGA) for CuSbPbI2 after structural relaxation.

Values from the calculation:
* space group: P4/mmm, No. 123
* excess energy over the best structure of this formula in the dataset: 0.00 eV/f.u.
* raw total energy: -2.81 eV/atom
* formation energy (no corrections): 0.971 eV per formula unit
* total magnetization: 0.000 μB per atom

a b c (Å): 5.409 5.409 5.265
angles (deg): 90.00 90.00 90.00
Fractional coordinates of all 5 atoms:
Pb: 0.500 0.500 0.500
I: 0.500 0.000 0.000
I: 0.000 0.500 0.000
Cu: 0.000 0.000 0.000
Sb: 0.000 0.000 0.500

---

10.
Density functional theory data (PBE-GGA) for CuSbPbI2 after structural relaxation.

Values from the calculation:
* space group: P4/mmm, No. 123
* excess energy over the best structure of this formula in the dataset: 2.56 eV/f.u.
* raw total energy: -2.30 eV/atom
* formation energy (no corrections): 3.529 eV per formula unit
* total magnetization: 0.330 μB per atom

a b c (Å): 6.205 6.205 6.122
angles (deg): 90.00 90.00 90.00
Each line ends with the local moment (μB).
Fractional coordinates of all 5 atoms:
I: 0.500 0.000 0.000  0.07
Pb: 0.000 0.000 0.000  0.03
I: 0.000 0.500 0.000  0.07
Sb: 0.000 0.000 0.500  0.62
Cu: 0.500 0.500 0.500  -0.04

---

11.
Density functional theory data (PBE-GGA) for Cu2TcPbI after structural relaxation.

Values from the calculation:
* space group: P4/mmm, No. 123
* raw total energy: -3.32 eV/atom
* formation energy (no corrections): 7.216 eV per formula unit
* total magnetization: 0.938 μB per atom

a b c (Å): 4.915 6.466 4.915
angles (deg): 90.00 90.00 90.00
Each line ends with the local moment (μB).
Fractional coordinates of all 5 atoms:
I: 0.000 0.500 0.000  0.05
Tc: 0.500 0.500 0.500  3.71
Pb: 0.000 0.000 0.000  0.04
Cu: 0.500 0.000 0.000  0.04
Cu: 0.000 0.000 0.500  0.04

---

12.
Density functional theory data (PBE-GGA) for CuTe2PbI after structural relaxation.

Values from the calculation:
* space group: P4/mmm, No. 123
* excess energy over the best structure of this formula in the dataset: 0.00 eV/f.u.
* raw total energy: -3.03 eV/atom
* formation energy (no corrections): 0.482 eV per formula unit
* total magnetization: 0.000 μB per atom

a b c (Å): 5.264 5.264 5.411
angles (deg): 90.00 90.00 90.00
Fractional coordinates of all 5 atoms:
Te: 0.500 0.000 0.000
I: 0.000 0.000 0.500
Pb: 0.500 0.500 0.500
Te: 0.000 0.500 0.000
Cu: 0.000 0.000 0.000